Model i:
First-principles (PBE) data for a relaxed structure of BaFeAs2Se, as listed in Alexandria via LeMat-Bulk.

Geometry as CIF:
```
data_BaFeAs2Se
_cell_length_a 5.587
_cell_length_b 5.587
_cell_length_c 5.692
_cell_angle_alpha 90.00
_cell_angle_beta 90.00
_cell_angle_gamma 90.00
_symmetry_space_group_name_H-M 'P 1'
_symmetry_Int_Tables_number 1
loop_
_symmetry_equiv_pos_as_xyz
'x,y,z'
loop_
_atom_site_label
_atom_site_fract_x
_atom_site_fract_y
_atom_site_fract_z
_atom_site_occupancy
Ba1 0.000 0.000 0.000 1
Fe1 0.500 0.500 0.500 1
As1 0.000 0.500 0.000 1
As2 0.500 0.000 0.000 1
Se1 0.000 0.000 0.500 1
```

Model ii:
First-principles (PBE) data for a relaxed structure of BaFeAs2Se, as listed in Alexandria via LeMat-Bulk.

Geometry as CIF:
```
data_BaFeAs2Se
_cell_length_a 4.590
_cell_length_b 4.590
_cell_length_c 5.674
_cell_angle_alpha 90.00
_cell_angle_beta 90.00
_cell_angle_gamma 90.00
_symmetry_space_group_name_H-M 'P 1'
_symmetry_Int_Tables_number 1
loop_
_symmetry_equiv_pos_as_xyz
'x,y,z'
loop_
_atom_site_label
_atom_site_fract_x
_atom_site_fract_y
_atom_site_fract_z
_atom_site_occupancy
Ba1 0.000 0.000 0.000 1
Fe1 0.500 0.500 0.500 1
As1 0.000 0.500 0.500 1
As2 0.500 0.000 0.500 1
Se1 0.500 0.500 0.000 1
```

Stability verdict: model ii, ahead by 185.1 kJ/mol of atoms